Density functional theory data (GGA-PBE) for Ti3CdC after structural relaxation.

It has space group P4/mmm (No. 123), with a = 3.0856 Å, b = 3.0856 Å, c = 8.1344 Å, α = 90.00°, β = 90.00° and γ = 90.00°. The asymmetric unit holds Ti at (0.0000, 0.0000, 0.0000), Ti at (0.5000, 0.5000, 0.2510), Cd at (0.0000, 0.0000, 0.5000) and C at (0.5000, 0.5000, 0.0000).

The calculation puts the energy of formation at -296 meV/atom. The total magnetization is 0.001 Bohr magnetons per cell. The energy above the most stable polymorph in this dataset is 144.8 meV per atom.

=====

Density functional theory data (GGA-PBE) for Ti3CdC after structural relaxation.

It has space group I-4m2 (No. 119), with a = 5.2820 Å, b = 5.2820 Å, c = 12.6626 Å, α = 90.00°, β = 90.00° and γ = 90.00°. The asymmetric unit holds Ti at (0.0000, 0.0000, 0.2084), Ti at (0.0000, 0.2605, 0.6137), Cd at (0.0000, 0.5000, 0.1172), C at (0.0000, 0.0000, 0.5000) and C at (0.0000, 0.5000, 0.7500).

The calculation puts the energy of formation at 301 meV/atom. The total magnetization is 0.001 Bohr magnetons per cell. The energy above the most stable polymorph in this dataset is 741.7 meV per atom.

=====

Density functional theory data (GGA-PBE) for Ti3CdC after structural relaxation.

It has space group C2/m (No. 12), with a = 11.5037 Å, b = 3.0392 Å, c = 9.3657 Å, α = 90.00°, β = 104.66° and γ = 90.00°. The asymmetric unit holds Ti at (0.0375, 0.0000, 0.3802), Ti at (0.0918, 0.5000, 0.1494), Ti at (0.2093, 0.5000, 0.6128), Cd at (0.1506, 0.0000, 0.8878) and C at (0.1618, 0.5000, 0.3757).

The calculation puts the energy of formation at -319 meV/atom. The total magnetization is 0.000 Bohr magnetons per cell. The energy above the most stable polymorph in this dataset is 122.2 meV per atom.

=====

Density functional theory data (GGA-PBE) for Ti3CdC after structural relaxation.

It has space group P2_1/m (No. 11), with a = 7.1484 Å, b = 3.0691 Å, c = 7.1605 Å, α = 90.00°, β = 94.57° and γ = 90.00°. The asymmetric unit holds Ti at (0.0714, 0.2500, 0.1605), Ti at (0.1543, 0.2500, 0.5809), Ti at (0.3312, 0.7500, 0.9076), Cd at (0.4114, 0.7500, 0.3266) and C at (0.1317, 0.2500, 0.8723).

The calculation puts the energy of formation at -360 meV/atom. The total magnetization is 1.336 Bohr magnetons per cell. The energy above the most stable polymorph in this dataset is 80.9 meV per atom.

=====

Density functional theory data (GGA-PBE) for TiCd3C after structural relaxation.

It has space group Pm-3m (No. 221), with a = 5.4773 Å, b = 5.4773 Å, c = 5.4773 Å, α = 90.00°, β = 90.00° and γ = 90.00°. The asymmetric unit holds Ti at (0.0000, 0.0000, 0.0000), Cd at (0.0000, 0.0000, 0.5000) and C at (0.5000, 0.5000, 0.5000).

The calculation puts the energy of formation at 2084 meV/atom. The total magnetization is 2.023 Bohr magnetons per cell. The energy above the most stable polymorph in this dataset is 1027.7 meV per atom.

=====

Density functional theory data (GGA-PBE) for Ti3CdC after structural relaxation.

It has space group Fd-3m (No. 227, origin choice 2), with a = 11.2851 Å, b = 11.2851 Å, c = 11.2851 Å, α = 90.00°, β = 90.00° and γ = 90.00°. The asymmetric unit holds Ti at (0.0588, 0.3750, 0.3750), Cd at (0.0000, 0.0000, 0.5000) and C at (0.0000, 0.0000, 0.0000).

The calculation puts the energy of formation at -82 meV/atom. The total magnetization is 0.000 Bohr magnetons per cell. The energy above the most stable polymorph in this dataset is 358.6 meV per atom.

=====

Density functional theory data (GGA-PBE) for Ti3CdC after structural relaxation.

It has space group I-4m2 (No. 119), with a = 4.0957 Å, b = 4.0957 Å, c = 25.8581 Å, α = 90.00°, β = 90.00° and γ = 90.00°. The asymmetric unit holds Ti at (0.0000, 0.0000, 0.1715), Ti at (0.0000, 0.2421, 0.6091), Cd at (0.0000, 0.0000, 0.5000), Cd at (0.0000, 0.5000, 0.7500) and C at (0.0000, 0.5000, 0.1359).

The calculation puts the energy of formation at 864 meV/atom. The total magnetization is 0.014 Bohr magnetons per cell. The energy above the most stable polymorph in this dataset is 1305.3 meV per atom.

=====

Density functional theory data (GGA-PBE) for Ti3CdC after structural relaxation.

It has space group Imma (No. 74), with a = 4.4593 Å, b = 12.5222 Å, c = 6.3243 Å, α = 90.00°, β = 90.00° and γ = 90.00°. The asymmetric unit holds Ti at (0.0000, 0.1325, 0.1212), Ti at (0.0000, 0.2500, 0.5914), Cd at (0.0000, 0.0000, 0.5000) and C at (0.0000, 0.2500, 0.9058).

The calculation puts the energy of formation at 10 meV/atom. The total magnetization is 6.988 Bohr magnetons per cell. The energy above the most stable polymorph in this dataset is 451.3 meV per atom.

=====

Density functional theory data (GGA-PBE) for Ti3CdC after structural relaxation.

It has space group C2/m (No. 12), with a = 9.9124 Å, b = 4.2979 Å, c = 8.1317 Å, α = 90.00°, β = 115.64° and γ = 90.00°. The asymmetric unit holds Ti at (0.1138, 0.0000, 0.1803), Ti at (0.1393, 0.0000, 0.6876), Ti at (0.1416, 0.5000, 0.9397), Cd at (0.1191, 0.5000, 0.4357) and C at (0.1179, 0.0000, 0.9256).

The calculation puts the energy of formation at -375 meV/atom. The total magnetization is 0.001 Bohr magnetons per cell. The energy above the most stable polymorph in this dataset is 65.8 meV per atom.

=====

Density functional theory data (GGA-PBE) for Ti3CdC after structural relaxation.

It has space group P4mm (No. 99), with a = 3.4142 Å, b = 3.4142 Å, c = 7.7348 Å, α = 90.00°, β = 90.00° and γ = 90.00°. The asymmetric unit holds Ti at (0.0000, 0.0000, 0.0000), Ti at (0.0000, 0.5000, 0.7196), Cd at (0.0000, 0.0000, 0.3806) and C at (0.5000, 0.5000, 0.9035).

The calculation puts the energy of formation at 298 meV/atom. The total magnetization is 0.000 Bohr magnetons per cell. The energy above the most stable polymorph in this dataset is 739.6 meV per atom.

=====

Density functional theory data (GGA-PBE) for Ti3CdC after structural relaxation.

It has space group Pmmn (No. 59, origin choice 2), with a = 4.4348 Å, b = 5.6204 Å, c = 6.3338 Å, α = 90.00°, β = 90.00° and γ = 90.00°. The asymmetric unit holds Ti at (0.2500, 0.0052, 0.1292), Ti at (0.2500, 0.7500, 0.5992), Cd at (0.2500, 0.2500, 0.7240) and C at (0.2500, 0.2500, 0.3670).

The calculation puts the energy of formation at 127 meV/atom. The total magnetization is 0.389 Bohr magnetons per cell. The energy above the most stable polymorph in this dataset is 567.9 meV per atom.